# 1
DFT (PBE) results for a relaxed Cs5OF4 crystal.

a b c (Å): 7.5524 7.5524 7.5524
angles (deg): 99.20 99.20 132.86
Last column: nearest neighbours and their distance in Å.
Element x y z (fractional)
Cs 0.0000 0.0000 0.0000  2 O 3.02, 4 F 3.06
Cs 0.1945 0.6037 0.7982  5 F 3.02-3.15, 1 O 3.16
Cs 0.3963 0.1945 0.5909  5 F 3.02-3.15, 1 O 3.16
Cs 0.6037 0.8055 0.4091  5 F 3.02-3.15, 1 O 3.16
Cs 0.8055 0.3963 0.2018  5 F 3.02-3.15, 1 O 3.16
O 0.5000 0.5000 0.0000  6 Cs 3.02-3.16
F 0.1003 0.2962 0.3965  6 Cs 3.02-3.15
F 0.2962 0.8997 0.1959  6 Cs 3.02-3.15
F 0.7038 0.1003 0.8041  6 Cs 3.02-3.15
F 0.8997 0.7038 0.6035  6 Cs 3.02-3.15

Calculated values
**ΔE_f (raw)**: -2.236 eV/atom
**SG**: I4/m (87)
**Theoretical density**: 4.340 g/cm3


# 2
DFT (PBE) results for a relaxed Sm4InCu2 crystal.

a b c (Å): 9.3893 9.3893 9.3893
angles (deg): 31.01 31.01 31.01
Last column: nearest neighbours and their distance in Å.
Element x y z (fractional)
Sm 0.1168 0.1168 0.1168  3 Cu 3.18, 3 In 3.19
Sm 0.2942 0.2942 0.2942  4 Cu 2.86-3.00
Sm 0.7058 0.7058 0.7058  4 Cu 2.86-3.00
Sm 0.8832 0.8832 0.8832  3 Cu 3.18, 3 In 3.19
In 0.5000 0.5000 0.5000  2 Cu 2.65
Cu 0.4010 0.4010 0.4010  1 In 2.65, 1 Sm 2.86
Cu 0.5990 0.5990 0.5990  1 In 2.65, 1 Sm 2.86

Calculated values
**Total energy**: -30.27 eV per cell
**SG**: R-3m (166)
**Theoretical density**: 7.185 g/cm3


# 3
DFT (PBE) results for a relaxed Pm2PrSn2 crystal.

a b c (Å): 5.2150 5.2150 13.1842
angles (deg): 90.00 90.00 120.00
Last column: nearest neighbours and their distance in Å.
Element x y z (fractional)
Pm 0.0000 0.0000 0.0000  2 Pr 3.30, 6 Sn 3.45
Pm 0.0000 0.0000 0.5000  2 Pr 3.30, 6 Sn 3.45
Pm 0.3333 0.6667 0.2500  3 Pr 3.01
Pm 0.6667 0.3333 0.7500  3 Pr 3.01
Pr 0.0000 0.0000 0.2500  5 Pm 3.01-3.30
Pr 0.0000 0.0000 0.7500  5 Pm 3.01-3.30
Sn 0.3333 0.6667 0.6278  1 Sn 3.22, 3 Pr 3.41, 6 Pm 3.41-3.45
Sn 0.3333 0.6667 0.8722  1 Sn 3.22, 3 Pr 3.41, 6 Pm 3.41-3.45
Sn 0.6667 0.3333 0.1278  1 Sn 3.22, 3 Pr 3.41, 6 Pm 3.41-3.45
Sn 0.6667 0.3333 0.3722  1 Sn 3.22, 3 Pr 3.41, 6 Pm 3.41-3.45

Calculated values
**Energy above the lowest structure with this stoichiometry**: 115 meV per atom
**SG**: P6_3/mmc (194)
**Theoretical density**: 7.148 g/cm3


# 4
DFT (PBE) results for a relaxed Ir2PtBrF crystal.

a b c (Å): 4.1021 4.1021 5.1333
angles (deg): 90.00 90.00 90.00
Last column: nearest neighbours and their distance in Å.
Element x y z (fractional)
Ir 0.0000 0.5000 0.0000  2 F 2.05
Ir 0.5000 0.0000 0.0000  2 F 2.05
Pt 0.0000 0.0000 0.5000  4 Br 2.90
Br 0.5000 0.5000 0.5000  2 F 2.57
F 0.5000 0.5000 0.0000  4 Ir 2.05

Calculated values
**ΔE_f (raw)**: 1.327 eV/atom
**SG**: P4/mmm (123)
**Theoretical density**: 13.042 g/cm3


# 5
DFT (PBE) results for a relaxed SrPmAgSb crystal.

a b c (Å): 5.4757 5.4757 5.4757
angles (deg): 60.00 60.00 60.00
Last column: nearest neighbours and their distance in Å.
Element x y z (fractional)
Sr 0.0000 0.0000 0.0000  4 Sb 3.35, 4 Ag 3.35
Pm 0.5000 0.5000 0.5000  4 Ag 3.35, 4 Sb 3.35
Ag 0.7500 0.7500 0.7500  4 Pm 3.35, 4 Sr 3.35
Sb 0.2500 0.2500 0.2500  4 Pm 3.35, 4 Sr 3.35

Calculated values
**ΔE_f (raw)**: -0.561 eV/atom
**SG**: F-43m (216)
**Theoretical density**: 6.612 g/cm3


# 6
DFT (PBE) results for a relaxed HfCdGa2Os crystal.

a b c (Å): 5.2188 5.2188 4.8523
angles (deg): 90.00 90.00 90.00
Last column: nearest neighbours and their distance in Å.
Element x y z (fractional)
Hf 0.0000 0.0000 0.0000  2 Os 2.43, 4 Ga 2.61
Cd 0.5000 0.5000 0.5000  8 Ga 3.56, 4 Os 3.69
Ga 0.0000 0.5000 0.0000  2 Hf 2.61
Ga 0.5000 0.0000 0.0000  2 Hf 2.61
Os 0.0000 0.0000 0.5000  2 Hf 2.43

Calculated values
**Total energy**: -22.75 eV per cell
**SG**: P4/mmm (123)
**Theoretical density**: 7.798 g/cm3


# 7
DFT (PBE) results for a relaxed Ca2YBr crystal.

a b c (Å): 3.8080 5.7484 6.2977
angles (deg): 90.00 90.00 90.00
Last column: nearest neighbours and their distance in Å.
Element x y z (fractional)
Ca 0.0000 0.0000 0.0000  4 Br 3.45, 6 Ca 3.68-3.81
Ca 0.5000 0.0000 0.5000  4 Y 3.45, 6 Ca 3.68-3.81
Y 0.0000 0.5000 0.5000  4 Ca 3.45, 4 Br 3.68, 2 Y 3.81
Br 0.5000 0.5000 0.0000  4 Ca 3.45, 4 Y 3.68, 2 Br 3.81

Calculated values
**Energy above the lowest structure with this stoichiometry**: 415 meV per atom
**ΔE_f (raw)**: -0.225 eV/atom
**SG**: Pmmm (47)
**Theoretical density**: 2.999 g/cm3


# 8
DFT (PBE) results for a relaxed Dy2TlBr crystal.

a b c (Å): 7.2704 7.2704 7.2704
angles (deg): 35.42 35.42 35.42
Last column: nearest neighbours and their distance in Å.
Element x y z (fractional)
Dy 0.2451 0.2451 0.2451  3 Tl 3.01, 3 Br 3.13
Dy 0.7549 0.7549 0.7549  3 Tl 3.01, 3 Br 3.13
Tl 0.5000 0.5000 0.5000  6 Dy 3.01
Br 0.0000 0.0000 0.0000  6 Dy 3.13

Calculated values
**Energy above the lowest structure with this stoichiometry**: 55 meV per atom
**ΔE_f (raw)**: -0.598 eV/atom
**SG**: R-3m (166)
**Theoretical density**: 8.771 g/cm3


# 9
DFT (PBE) results for a relaxed Ce3Th2Rh2 crystal.

a b c (Å): 7.4730 7.4730 7.4730
angles (deg): 42.64 42.64 42.64
Last column: nearest neighbours and their distance in Å.
Element x y z (fractional)
Ce 0.0000 0.0000 0.0000  2 Ce 2.74
Ce 0.1346 0.1346 0.1346  1 Rh 2.67, 1 Ce 2.74
Ce 0.8654 0.8654 0.8654  1 Rh 2.67, 1 Ce 2.74
Th 0.3981 0.3981 0.3981  1 Rh 2.69
Th 0.6019 0.6019 0.6019  1 Rh 2.69
Rh 0.2657 0.2657 0.2657  1 Ce 2.67, 1 Th 2.69
Rh 0.7343 0.7343 0.7343  1 Ce 2.67, 1 Th 2.69

Calculated values
**Total energy**: -50.05 eV per cell
**SG**: R-3m (166)
**Theoretical density**: 10.439 g/cm3


# 10
DFT (PBE) results for a relaxed Na2HoAlS4 crystal.

a b c (Å): 7.7373 7.7373 7.7373
angles (deg): 122.00 118.33 89.75
Last column: nearest neighbours and their distance in Å.
Element x y z (fractional)
Na 0.0000 0.0000 0.0000  6 S 2.77-2.78
Na 0.5000 0.0000 0.0000  6 S 2.93-2.97
Na 0.5000 0.0000 0.5000  6 S 2.77-2.78
Na 0.5000 0.5000 0.5000  6 S 2.93-2.97
Ho 0.0000 0.5000 0.5000  6 S 2.71-2.74
Ho 0.5000 0.5000 0.0000  6 S 2.71-2.74
Al 0.0000 0.0000 0.5000  6 S 2.51-2.55
Al 0.0000 0.5000 0.0000  6 S 2.51-2.55
S 0.2083 0.7479 0.4604  2 Al 2.51, 1 Ho 2.74, 1 Na 2.78
S 0.2125 0.2521 0.9604  2 Al 2.51, 1 Ho 2.74, 1 Na 2.78
S 0.2325 0.2382 0.5057  1 Al 2.55, 2 Ho 2.71, 2 Na 2.77
S 0.2325 0.7268 0.9943  1 Al 2.55, 2 Ho 2.71, 2 Na 2.77
S 0.7675 0.2732 0.0057  1 Al 2.55, 2 Ho 2.71, 2 Na 2.77
S 0.7675 0.7618 0.4943  1 Al 2.55, 2 Ho 2.71, 2 Na 2.77
S 0.7875 0.7479 0.0396  2 Al 2.51, 1 Ho 2.74, 1 Na 2.78
S 0.7917 0.2521 0.5396  2 Al 2.51, 1 Ho 2.74, 1 Na 2.78

Calculated values
**ΔE_f (raw)**: -1.438 eV/atom
**SG**: Imma (74)
**Theoretical density**: 3.727 g/cm3


# 11
DFT (PBE) results for a relaxed AcMgHgBi crystal.

a b c (Å): 5.5577 5.5577 5.5577
angles (deg): 60.00 60.00 60.00
Last column: nearest neighbours and their distance in Å.
Element x y z (fractional)
Ac 0.0000 0.0000 0.0000  4 Hg 3.40, 4 Bi 3.40
Mg 0.5000 0.5000 0.5000  4 Hg 3.40, 4 Bi 3.40
Hg 0.7500 0.7500 0.7500  4 Ac 3.40, 4 Mg 3.40
Bi 0.2500 0.2500 0.2500  4 Ac 3.40, 4 Mg 3.40

Calculated values
**Total energy**: -11.50 eV per cell
**SG**: F-43m (216)
**Theoretical density**: 9.041 g/cm3


# 12
DFT (PBE) results for a relaxed HfTiNi2 crystal.

a b c (Å): 3.0802 3.0802 6.2482
angles (deg): 90.00 90.00 90.00
Last column: nearest neighbours and their distance in Å.
Element x y z (fractional)
Hf 0.0000 0.0000 0.0000  8 Ni 2.78, 4 Hf 3.08
Ti 0.0000 0.0000 0.5000  8 Ni 2.59
Ni 0.5000 0.5000 0.2770  4 Ti 2.59, 4 Hf 2.78, 1 Ni 2.79
Ni 0.5000 0.5000 0.7230  4 Ti 2.59, 4 Hf 2.78, 1 Ni 2.79

Calculated values
**Energy above the lowest structure with this stoichiometry**: 69 meV per atom
**SG**: P4/mmm (123)
**Theoretical density**: 9.629 g/cm3


- Number 7 is which compound?
  Ca2YBr